{
  "formula": "Cd2GaPd6",
  "functional": "PBE-GGA",
  "state": "optimized geometry",
  "space_group": "C2/m, No. 12",
  "final_energy_ev_per_cell": -38.53,
  "m_tot_mub_per_fu": 0.00,
  "dos_ef_per_ev_cell": 4.40,
  "lattice_angstrom": [[2.8845, 0.0000, -0.0972], [0.0000, 7.6215, 0.0000], [-1.1666, -3.8107, 7.0139]],
  "species": ["Cd", "Cd", "Ga", "Pd", "Pd", "Pd", "Pd", "Pd", "Pd"],
  "frac_coords": [[0.6591, 0.6595, 0.3189], [0.3409, 0.3405, 0.6811], [0.0000, 0.0000, 0.0000], [0.1662, 0.3498, 0.3335], [0.8338, 0.0163, 0.6665], [0.8338, 0.6502, 0.6665], [0.5000, 0.2775, 0.0000], [0.1662, 0.9837, 0.3335], [0.5000, 0.7225, 0.0000]]
}